# 1
Entry from the Open Quantum Materials Database: a geometry-optimized Te2Pd structure (GGA-PBE).

Geometry as POSCAR:
```
Te2Pd
1.0
4.000 0.000 0.000
0.000 7.057 0.000
0.000 0.000 11.041
Te Pd
8 4
Direct
0.000 0.141 0.000
0.000 0.358 0.500
0.000 0.707 0.247
0.000 0.792 0.746
0.500 0.208 0.246
0.500 0.293 0.747
0.500 0.642 0.000
0.500 0.859 0.500
0.000 0.033 0.373
0.000 0.467 0.874
0.500 0.533 0.374
0.500 0.967 0.873
```

Total energy ... -4.12 eV/atom
Crystal system ... orthorhombic
Theoretical density ... 7.71 g/cm³
Symmetry ... Pmn2_1, No. 31


# 2
Entry from the Open Quantum Materials Database: a geometry-optimized Cs2TmLuO4 structure (GGA-PBE).

Geometry as POSCAR:
```
Cs2TmLuO4
1.0
3.466 0.000 0.000
-1.733 3.001 0.000
0.000 0.000 13.540
Cs Tm Lu O
2 1 1 4
Direct
0.333 0.667 0.250
0.667 0.333 0.750
0.000 0.000 0.000
0.000 0.000 0.500
0.333 0.667 0.581
0.333 0.667 0.918
0.667 0.333 0.082
0.667 0.333 0.419
```

Total energy ... -6.48 eV/atom
Total magnetic moment ... 0.00 μB/f.u.
Crystal system ... trigonal
Theoretical density ... 7.94 g/cm³
Symmetry ... P-3m1, No. 164


# 3
Entry from the Open Quantum Materials Database: a geometry-optimized YTmNb2Ge2 structure (GGA-PBE).

Geometry as POSCAR:
```
YTmNb2Ge2
1.0
4.019 0.000 0.000
0.000 4.019 0.000
0.000 0.000 7.802
Y Tm Nb Ge
1 1 2 2
Direct
0.000 0.000 0.000
0.500 0.500 0.295
0.000 0.500 0.644
0.500 0.000 0.644
0.000 0.000 0.396
0.500 0.500 0.893
```

Total energy ... -7.38 eV/atom
Total magnetic moment ... 1.12 μB/f.u.
Crystal system ... tetragonal
Theoretical density ... 7.76 g/cm³
Symmetry ... P4mm, No. 99


# 4
Entry from the Open Quantum Materials Database: a geometry-optimized Li2CuSn structure (GGA-PBE).

Geometry as POSCAR:
```
Li2CuSn
1.0
0.000 3.120 3.120
3.120 0.000 3.120
3.120 3.120 0.000
Li Cu Sn
2 1 1
Direct
0.000 0.000 0.000
0.250 0.250 0.250
0.750 0.750 0.750
0.500 0.500 0.500
```

Total energy ... -3.21 eV/atom
Crystal system ... cubic
Theoretical density ... 5.36 g/cm³
Symmetry ... F-43m, No. 216


# 5
Entry from the Open Quantum Materials Database: a geometry-optimized SmLu3S6 structure (GGA-PBE).

Geometry as POSCAR:
```
SmLu3S6
1.0
10.891 0.000 0.000
0.000 3.904 0.000
-3.609 0.000 10.545
Sm Lu S
2 6 12
Direct
0.048 0.250 0.195
0.952 0.750 0.805
0.161 0.250 0.586
0.319 0.750 0.998
0.439 0.250 0.333
0.561 0.750 0.667
0.681 0.250 0.002
0.839 0.750 0.414
0.082 0.750 0.406
0.118 0.250 0.964
0.197 0.750 0.749
0.263 0.750 0.227
0.395 0.250 0.560
0.477 0.250 0.112
0.523 0.750 0.888
0.605 0.750 0.440
0.737 0.250 0.773
0.803 0.250 0.251
0.882 0.750 0.036
0.918 0.250 0.594
```

Total energy ... -6.38 eV/atom
Total magnetic moment ... 0.00 μB/f.u.
Crystal system ... monoclinic
Theoretical density ... 6.43 g/cm³
Symmetry ... P2_1/m, No. 11


# 6
Entry from the Open Quantum Materials Database: a geometry-optimized NiBiPtAu structure (GGA-PBE).

Geometry as POSCAR:
```
NiBiPtAu
1.0
0.000 3.292 3.292
3.292 0.000 3.292
3.292 3.292 0.000
Ni Bi Pt Au
1 1 1 1
Direct
0.000 0.000 0.000
0.750 0.750 0.750
0.500 0.500 0.500
0.250 0.250 0.250
```

Total energy ... -4.66 eV/atom
Total magnetic moment ... 0.01 μB/f.u.
Crystal system ... cubic
Theoretical density ... 15.36 g/cm³
Symmetry ... F-43m, No. 216


# 7
Entry from the Open Quantum Materials Database: a geometry-optimized RbPmCd structure (GGA-PBE).

Geometry as POSCAR:
```
RbPmCd
1.0
0.000 3.915 3.915
3.915 0.000 3.915
3.915 3.915 0.000
Rb Pm Cd
1 1 1
Direct
0.000 0.000 0.000
0.750 0.750 0.750
0.500 0.500 0.500
```

Total energy ... -1.54 eV/atom
Total magnetic moment ... 0.06 μB/f.u.
Crystal system ... cubic
Theoretical density ... 4.75 g/cm³
Symmetry ... F-43m, No. 216


# 8
Entry from the Open Quantum Materials Database: a geometry-optimized NbCuAgSb structure (GGA-PBE).

Geometry as POSCAR:
```
NbCuAgSb
1.0
0.000 3.300 3.300
3.300 0.000 3.300
3.300 3.300 0.000
Nb Cu Ag Sb
1 1 1 1
Direct
0.000 0.000 0.000
0.500 0.500 0.500
0.750 0.750 0.750
0.250 0.250 0.250
```

Energy above the lowest structure with this stoichiometry ... 0.00 eV per formula unit
Total energy ... -4.89 eV/atom
Total magnetic moment ... 1.02 μB/f.u.
Crystal system ... cubic
Theoretical density ... 8.92 g/cm³
Symmetry ... F-43m, No. 216


# 9
Entry from the Open Quantum Materials Database: a geometry-optimized OsPbNO structure (GGA-PBE).

Geometry as POSCAR:
```
OsPbNO
1.0
3.238 0.000 0.000
0.000 7.156 0.000
0.000 0.000 5.930
Os Pb N O
2 2 2 2
Direct
0.000 0.211 0.000
0.000 0.789 0.500
0.500 0.286 0.563
0.500 0.714 0.063
0.500 0.323 0.070
0.500 0.677 0.570
0.000 0.040 0.423
0.000 0.960 0.923
```

Energy above the lowest structure with this stoichiometry ... 0.11 eV per formula unit
Total energy ... -6.97 eV/atom
Total magnetic moment ... 0.00 μB/f.u.
Crystal system ... orthorhombic
Theoretical density ... 10.33 g/cm³
Symmetry ... Pmc2_1, No. 26


# 10
Entry from the Open Quantum Materials Database: a geometry-optimized LiCoBMo structure (GGA-PBE).

Geometry as POSCAR:
```
LiCoBMo
1.0
0.000 2.729 2.729
2.729 0.000 2.729
2.729 2.729 0.000
Li Co B Mo
1 1 1 1
Direct
0.000 0.000 0.000
0.750 0.750 0.750
0.500 0.500 0.500
0.250 0.250 0.250
```

Energy above the lowest structure with this stoichiometry ... 0.00 eV per formula unit
Total energy ... -6.32 eV/atom
Total magnetic moment ... 1.60 μB/f.u.
Crystal system ... cubic
Theoretical density ... 7.05 g/cm³
Symmetry ... F-43m, No. 216


# 11
Entry from the Open Quantum Materials Database: a geometry-optimized HoTe3PbAu structure (GGA-PBE).

Geometry as POSCAR:
```
HoTe3PbAu
1.0
9.918 -2.148 0.000
9.918 2.148 0.000
-1.658 0.000 8.659
Ho Te Pb Au
2 6 2 2
Direct
0.159 0.159 0.092
0.841 0.841 0.908
0.000 0.000 0.000
0.311 0.311 0.653
0.321 0.321 0.144
0.500 0.500 0.500
0.679 0.679 0.856
0.689 0.689 0.347
0.124 0.124 0.577
0.876 0.876 0.423
0.447 0.447 0.787
0.553 0.553 0.213
```

Energy above the lowest structure with this stoichiometry ... 0.18 eV per formula unit
Total energy ... -4.17 eV/atom
Total magnetic moment ... 0.00 μB/f.u.
Crystal system ... monoclinic
Theoretical density ... 8.57 g/cm³
Symmetry ... C2/m, No. 12


# 12
Entry from the Open Quantum Materials Database: a geometry-optimized YGaCoW structure (GGA-PBE).

Geometry as POSCAR:
```
YGaCoW
1.0
0.000 3.264 3.264
3.264 0.000 3.264
3.264 3.264 0.000
Y Ga Co W
1 1 1 1
Direct
0.000 0.000 0.000
0.250 0.250 0.250
0.500 0.500 0.500
0.750 0.750 0.750
```

Energy above the lowest structure with this stoichiometry ... 0.18 eV per formula unit
Total energy ... -6.87 eV/atom
Total magnetic moment ... 3.00 μB/f.u.
Crystal system ... cubic
Theoretical density ... 9.58 g/cm³
Symmetry ... F-43m, No. 216


# 13
Entry from the Open Quantum Materials Database: a geometry-optimized RbCuAs structure (GGA-PBE).

Geometry as POSCAR:
```
RbCuAs
1.0
0.000 3.543 3.543
3.543 0.000 3.543
3.543 3.543 0.000
Rb Cu As
1 1 1
Direct
0.000 0.000 0.000
0.500 0.500 0.500
0.750 0.750 0.750
```

Energy above the lowest structure with this stoichiometry ... 0.36 eV per formula unit
Total energy ... -2.54 eV/atom
Crystal system ... cubic
Theoretical density ... 4.18 g/cm³
Symmetry ... F-43m, No. 216


# 14
Entry from the Open Quantum Materials Database: a geometry-optimized LuCo structure (GGA-PBE).

Geometry as POSCAR:
```
LuCo
1.0
0.000 2.665 2.665
2.665 0.000 2.665
2.665 2.665 0.000
Lu Co
1 1
Direct
0.000 0.000 0.000
0.500 0.500 0.500
```

Energy relative to the elements ... 173 meV/atom
Total energy ... -5.64 eV/atom
Total magnetic moment ... 0.00 μB/f.u.
Crystal system ... cubic
Theoretical density ... 10.26 g/cm³
Symmetry ... Fm-3m, No. 225


# 15
Entry from the Open Quantum Materials Database: a geometry-optimized Zr5Sn3Se structure (GGA-PBE).

Geometry as POSCAR:
```
Zr5Sn3Se
1.0
8.633 0.000 0.000
-4.317 7.477 0.000
0.000 0.000 6.049
Zr Sn Se
10 6 2
Direct
0.000 0.263 0.250
0.000 0.737 0.750
0.263 0.000 0.250
0.263 0.263 0.750
0.333 0.667 0.000
0.333 0.667 0.500
0.667 0.333 0.000
0.667 0.333 0.500
0.737 0.000 0.750
0.737 0.737 0.250
0.000 0.396 0.750
0.000 0.604 0.250
0.396 0.000 0.750
0.396 0.396 0.250
0.604 0.000 0.250
0.604 0.604 0.750
0.000 0.000 0.000
0.000 0.000 0.500
```

Total energy ... -7.26 eV/atom
Total magnetic moment ... 0.00 μB/f.u.
Crystal system ... hexagonal
Theoretical density ... 7.58 g/cm³
Symmetry ... P6_3/mcm, No. 193


# 16
Entry from the Open Quantum Materials Database: a geometry-optimized BaGdCuTe3 structure (GGA-PBE).

Geometry as POSCAR:
```
BaGdCuTe3
1.0
15.186 0.000 0.000
0.000 4.455 0.000
0.000 0.000 11.654
Ba Gd Cu Te
4 4 4 12
Direct
0.222 0.250 0.034
0.278 0.750 0.534
0.722 0.250 0.466
0.778 0.750 0.966
0.020 0.250 0.333
0.480 0.750 0.833
0.520 0.250 0.167
0.980 0.750 0.667
0.011 0.750 0.094
0.489 0.250 0.594
0.511 0.750 0.406
0.989 0.250 0.906
0.090 0.750 0.885
0.105 0.250 0.574
0.145 0.750 0.247
0.355 0.250 0.747
0.395 0.750 0.074
0.410 0.250 0.385
0.590 0.750 0.615
0.605 0.250 0.926
0.645 0.750 0.253
0.855 0.250 0.753
0.895 0.750 0.426
0.910 0.250 0.115
```

Total energy ... -4.52 eV/atom
Total magnetic moment ... 0.00 μB/f.u.
Crystal system ... orthorhombic
Theoretical density ... 6.24 g/cm³
Symmetry ... Pnma, No. 62


# 17
Entry from the Open Quantum Materials Database: a geometry-optimized KLiZrS3 structure (GGA-PBE).

Geometry as POSCAR:
```
KLiZrS3
1.0
1.906 -7.015 0.000
1.906 7.015 0.000
0.000 0.000 9.994
K Li Zr S
2 2 2 6
Direct
0.239 0.761 0.750
0.761 0.239 0.250
0.038 0.962 0.250
0.962 0.038 0.750
0.500 0.500 0.000
0.500 0.500 0.500
0.121 0.879 0.048
0.121 0.879 0.452
0.444 0.556 0.250
0.556 0.444 0.750
0.879 0.121 0.548
0.879 0.121 0.952
```

Energy above the lowest structure with this stoichiometry ... 0.02 eV per formula unit
Total energy ... -5.47 eV/atom
Total magnetic moment ... 0.00 μB/f.u.
Crystal system ... orthorhombic
Theoretical density ... 2.90 g/cm³
Symmetry ... Cmcm, No. 63


# 18
Entry from the Open Quantum Materials Database: a geometry-optimized HoPuSc structure (GGA-PBE).

Geometry as POSCAR:
```
HoPuSc
1.0
0.000 3.649 3.649
3.649 0.000 3.649
3.649 3.649 0.000
Ho Pu Sc
1 1 1
Direct
0.000 0.000 0.000
0.500 0.500 0.500
0.250 0.250 0.250
```

Energy relative to the elements ... 745 meV/atom
Energy above the lowest structure with this stoichiometry ... 0.00 eV per formula unit
Total energy ... -7.60 eV/atom
Total magnetic moment ... 6.90 μB/f.u.
Crystal system ... cubic
Theoretical density ... 7.75 g/cm³
Symmetry ... F-43m, No. 216


# 19
Entry from the Open Quantum Materials Database: a geometry-optimized NaLuCdTe3 structure (GGA-PBE).

Geometry as POSCAR:
```
NaLuCdTe3
1.0
8.638 0.000 0.000
0.000 4.369 0.000
-2.734 0.000 10.240
Na Lu Cd Te
2 2 2 6
Direct
0.218 0.250 0.250
0.782 0.750 0.750
0.326 0.750 0.856
0.674 0.250 0.144
0.082 0.250 0.604
0.918 0.750 0.396
0.080 0.250 0.866
0.265 0.750 0.543
0.435 0.750 0.151
0.565 0.250 0.849
0.735 0.250 0.457
0.920 0.750 0.134
```

Energy above the lowest structure with this stoichiometry ... 0.00 eV per formula unit
Total energy ... -3.62 eV/atom
Total magnetic moment ... 0.01 μB/f.u.
Crystal system ... monoclinic
Theoretical density ... 5.96 g/cm³
Symmetry ... P2_1/m, No. 11


# 20
Entry from the Open Quantum Materials Database: a geometry-optimized DyCdAgHg structure (GGA-PBE).

Geometry as POSCAR:
```
DyCdAgHg
1.0
0.000 3.538 3.538
3.538 0.000 3.538
3.538 3.538 0.000
Dy Cd Ag Hg
1 1 1 1
Direct
0.000 0.000 0.000
0.500 0.500 0.500
0.750 0.750 0.750
0.250 0.250 0.250
```

Energy relative to the elements ... -352 meV/atom
Total energy ... -2.51 eV/atom
Total magnetic moment ... 0.00 μB/f.u.
Crystal system ... cubic
Theoretical density ... 10.93 g/cm³
Symmetry ... F-43m, No. 216